(1)
Material: Dy3MnB7
Method: DFT, SCAN
State: PBEsol geometry

Cell lengths 3.3926, 15.6093, 9.2313 Å; angles 90.00, 90.00, 90.00 degrees
Space group Cmcm (No. 63)
Symmetry-distinct sites (fractional):
Dy: 0.0000 0.1044 0.0603 [8 per cell]
Dy: 0.0000 0.2410 0.7500 [4 per cell]
Mn: 0.0000 0.0536 0.7500 [4 per cell]
B: 0.0000 0.2726 0.0319 [8 per cell]
B: 0.0000 0.3697 0.1527 [8 per cell]
B: 0.0000 0.4596 0.7500 [4 per cell]
B: 0.0000 0.4784 0.0977 [8 per cell]

## Properties
- formation energy from the elements (meV per atom) = -664
- VASP energy (eV/atom) = -20.087

(2)
Material: Ta6Mo
Method: DFT, SCAN
State: PBEsol geometry

Cell lengths 4.6101, 4.6101, 19.6639 Å; angles 90.00, 90.00, 120.00 degrees
Space group R-3m (No. 166, hexagonal axes)
Symmetry-distinct sites (fractional):
Ta: 0.0000 0.0000 0.0700 [6 per cell]
Ta: 0.0000 0.0000 0.2127 [6 per cell]
Ta: 0.0000 0.0000 0.3592 [6 per cell]
Mo: 0.0000 0.0000 0.5000 [3 per cell]

## Properties
- formation energy from the elements (meV per atom) = -52
- excess energy over the best structure of this formula in the dataset (kJ/mol of atoms) = 1.5
- VASP energy (eV/atom) = -62.108

(3)
Material: K2Pb
Method: DFT, SCAN
State: PBEsol geometry

Cell lengths 6.2154, 6.2154, 7.3396 Å; angles 90.00, 90.00, 120.00 degrees
Space group P6_3/mmc (No. 194)
Symmetry-distinct sites (fractional):
K: 0.0000 0.0000 0.0000 [2 per cell]
K: 0.3333 0.6667 0.2500 [2 per cell]
Pb: 0.3333 0.6667 0.7500 [2 per cell]

## Properties
- formation energy from the elements (meV per atom) = -102
- VASP energy (eV/atom) = -30.915

(4)
Material: Mg3P4H28N2O24
Method: DFT, SCAN
State: PBEsol geometry

Cell lengths 6.6805, 7.5692, 10.6543 Å; angles 105.68, 96.31, 97.83 degrees
Space group P-1 (No. 2)
Symmetry-distinct sites (fractional):
Mg: 0.0000 0.0000 0.0000 [1 per cell]
Mg: 0.3419 0.7653 0.5991 [2 per cell]
P: 0.1989 0.3010 0.4664 [2 per cell]
P: 0.2520 0.6556 0.8694 [2 per cell]
H: 0.0187 0.7663 0.7270 [2 per cell]
H: 0.0989 0.8117 0.4140 [2 per cell]
H: 0.1587 0.3722 0.7258 [2 per cell]
H: 0.1703 0.4380 0.1776 [2 per cell]
H: 0.1883 0.2718 0.9054 [2 per cell]
H: 0.2651 0.0495 0.2348 [2 per cell]
H: 0.2901 0.1157 0.6528 [2 per cell]
H: 0.2896 0.8772 0.1102 [2 per cell]
H: 0.2966 0.6391 0.2912 [2 per cell]
H: 0.2966 0.9599 0.4140 [2 per cell]
H: 0.3133 0.0685 0.7881 [2 per cell]
H: 0.3378 0.5889 0.1303 [2 per cell]
H: 0.3821 0.2153 0.9757 [2 per cell]
H: 0.4238 0.4577 0.2283 [2 per cell]
N: 0.3082 0.5315 0.2073 [2 per cell]
O: 0.0168 0.7677 0.6295 [2 per cell]
O: 0.0647 0.7576 0.8682 [2 per cell]
O: 0.1490 0.2535 0.5935 [2 per cell]
O: 0.1604 0.4378 0.8271 [2 per cell]
O: 0.1991 0.9679 0.1460 [2 per cell]
O: 0.2318 0.1691 0.9388 [2 per cell]
O: 0.2531 0.8324 0.4242 [2 per cell]
O: 0.2717 0.5038 0.4828 [2 per cell]
O: 0.3467 0.1763 0.4015 [2 per cell]
O: 0.3682 0.0454 0.7027 [2 per cell]
O: 0.3733 0.7044 0.0086 [2 per cell]
O: 0.3855 0.6894 0.7683 [2 per cell]

## Properties
- VASP energy (eV/atom) = -6.832

(5)
Material: TlReMo2
Method: DFT, SCAN
State: PBEsol geometry

Cell lengths 2.8796, 2.8796, 27.7874 Å; angles 90.00, 90.00, 120.00 degrees
Space group R-3m (No. 166, hexagonal axes)
Symmetry-distinct sites (fractional):
Tl: 0.0000 0.0000 0.0000 [3 per cell]
Re: 0.0000 0.0000 0.5000 [3 per cell]
Mo: 0.0000 0.0000 0.2435 [6 per cell]

## Properties
- formation energy from the elements (meV per atom) = 531
- excess energy over the best structure of this formula in the dataset (kJ/mol of atoms) = 6.8
- VASP energy (eV/atom) = -52.775

(6)
Material: ZnTcRh2
Method: DFT, SCAN
State: PBEsol geometry

Cell lengths 3.8037, 3.8037, 7.4467 Å; angles 90.00, 90.00, 90.00 degrees
Space group I4/mmm (No. 139)
Symmetry-distinct sites (fractional):
Zn: 0.0000 0.0000 0.0000 [2 per cell]
Tc: 0.0000 0.0000 0.5000 [2 per cell]
Rh: 0.0000 0.5000 0.2500 [4 per cell]

## Properties
- formation energy from the elements (meV per atom) = -155
- VASP energy (eV/atom) = -29.184